[1]
Here is an optimized crystal structure of Sc2MnSi2 from Alexandria via LeMat-Bulk. Energies are from GGA-PBE.

Its density of states at the Fermi level is 1.48 states/eV/atom. Its uncorrected formation energy is 0.356 eV per atom. For the calculated total energy, the calculation gives -6.179 eV per atom.

Cell: 3.884 3.884 6.499 Å, 72.61 72.61 90.00°
Site moments in Bohr magnetons follow the coordinates.
Fractional positions:
Sc (0.750, 0.250, 0.500)  0.04
Sc (0.250, 0.750, 0.500)  0.04
Si (0.408, 0.408, 0.185)  0.02
Si (0.592, 0.592, 0.815)  0.02
Mn (0.000, 0.000, 0.000)  -0.38


[2]
Here is an optimized crystal structure of Sc2MnSi from Alexandria via LeMat-Bulk. Energies are from GGA-PBE.

Its density of states at the Fermi level is 1.05 states/eV/atom. Its uncorrected formation energy is -0.300 eV per atom. For the calculated total energy, the calculation gives -7.113 eV per atom.

Cell: 3.111 3.690 6.106 Å, 90.00 90.00 90.00°
Site moments in Bohr magnetons follow the coordinates.
Fractional positions:
Mn (0.500, 0.500, 0.750)  2.85
Sc (0.000, 0.000, 0.001)  -0.26
Sc (0.000, 0.000, 0.499)  -0.26
Si (0.500, 0.500, 0.250)  0.01


[3]
Here is an optimized crystal structure of Sc2Mn2Si from Alexandria via LeMat-Bulk. Energies are from GGA-PBE.

Its density of states at the Fermi level is 1.47 states/eV/atom. Its uncorrected formation energy is -0.251 eV per atom. For the calculated total energy, the calculation gives -7.536 eV per atom.

Cell: 6.172 6.172 4.163 Å, 90.00 90.00 90.00°
Site moments in Bohr magnetons follow the coordinates.
Fractional positions:
Sc (0.178, 0.678, 0.500)  -0.09
Sc (0.678, 0.822, 0.500)  -0.08
Sc (0.822, 0.322, 0.500)  -0.09
Sc (0.322, 0.178, 0.500)  -0.08
Si (0.000, 0.000, 0.000)  -0.04
Si (0.500, 0.500, 0.000)  -0.04
Mn (0.377, 0.877, 0.000)  0.97
Mn (0.877, 0.623, 0.000)  0.94
Mn (0.623, 0.123, 0.000)  0.97
Mn (0.123, 0.377, 0.000)  0.94